# 1
Na3Si4Au2 (GGA-PBE, optimized geometry); volume = 169.06 Å³ per cell; E_form (uncorrected) = -0.12 eV/atom; space group = C2/m (12)
1.0
-4.2180 1.0575 -0.0917
-3.3679 -4.4909 -0.0278
-2.7113 -1.2218 7.4694
Na Si Au
3 4 2
direct
0.3086 0.7477 0.6351
0.0000 0.0000 0.0000
0.6914 0.2523 0.3649
0.2487 0.4094 0.0931
0.7513 0.5906 0.9069
0.9986 0.3492 0.6535
0.0014 0.6508 0.3465
0.4164 0.9111 0.2560
0.5836 0.0889 0.7440



# 2
Na3SiAu (GGA-PBE, optimized geometry); volume = 268.76 Å³ per cell; E_form (uncorrected) = -0.03 eV/atom; polymorph energy (0 for the lowest one) = 0.0 meV per atom; space group = C2/m (12)
1.0
7.6222 -0.2721 -0.1009
-2.3472 7.2569 0.1009
-3.0971 -3.1453 4.9250
Na Si Au
6 2 2
direct
0.8071 0.0221 0.2136
0.1914 0.4064 0.2136
0.8086 0.5936 0.7864
0.7144 0.4669 0.1813
0.1929 0.9779 0.7864
0.2856 0.5331 0.8187
0.6396 0.1018 0.7414
0.3604 0.8982 0.2586
0.6693 0.8094 0.4787
0.3307 0.1906 0.5213



# 3
NaSi4Au12 (GGA-PBE, optimized geometry); volume = 344.75 Å³ per cell; E_form (uncorrected) = 0.04 eV/atom; space group = Im-3 (204)
1.0
7.6508 0.0000 0.0000
-2.5503 7.2133 0.0000
-2.5503 -3.6066 6.2469
Na Si Au
1 4 12
direct
0.0000 0.0000 0.0000
0.0000 0.5000 0.0000
0.5000 0.0000 0.0000
0.5000 0.5000 0.5000
0.0000 0.0000 0.5000
0.8387 0.3396 0.1783
0.3396 0.5009 0.1613
0.8217 0.1613 0.6604
0.3396 0.1783 0.8387
0.1783 0.8387 0.3396
0.6604 0.4991 0.8387
0.5009 0.1613 0.3396
0.4991 0.8387 0.6604
0.6604 0.8217 0.1613
0.8387 0.6604 0.4991
0.1613 0.3396 0.5009
0.1613 0.6604 0.8217



# 4
Na2Si3Au9 (GGA-PBE, optimized geometry); volume = 510.21 Å³ per cell; E_form (uncorrected) = -0.16 eV/atom; space group = C2/c (15)
1.0
-0.9000 -7.8170 -0.4136
7.0264 2.9202 2.0465
-4.2207 4.1559 8.6469
Na Si Au
4 6 18
direct
0.3414 0.2509 0.7538
0.6586 0.7491 0.2462
0.9971 0.5877 0.7462
0.0029 0.4123 0.2538
0.5000 0.0000 0.0000
0.5000 0.5000 0.5000
0.8600 0.1834 0.5035
0.1400 0.8166 0.4965
0.1799 0.3565 0.9965
0.8201 0.6435 0.0035
0.4381 0.9242 0.7415
0.5619 0.0758 0.2585
0.6826 0.6966 0.7585
0.3174 0.3034 0.2415
0.4392 0.6352 0.9253
0.5608 0.3648 0.0747
0.2099 0.5139 0.5747
0.7901 0.4861 0.4253
0.8976 0.1476 0.7500
0.1024 0.8524 0.2500
0.1402 0.9915 0.9329
0.8598 0.0085 0.0671
0.5586 0.2073 0.5671
0.4414 0.7927 0.4329
0.8730 0.8559 0.5604
0.1270 0.1441 0.4396
0.7955 0.3126 0.9396
0.2045 0.6874 0.0604



# 5
NaSi2Au5 (GGA-PBE, optimized geometry); volume = 157.15 Å³ per cell; E_form (uncorrected) = -0.12 eV/atom; space group = Immm (71)
1.0
4.2923 0.0000 0.0000
2.1461 6.2264 0.5320
2.1461 1.6669 6.0227
Na Si Au
1 2 5
direct
0.0000 0.0000 0.0000
0.7586 0.7414 0.7414
0.2414 0.2586 0.2586
0.0000 0.5000 0.5000
0.6467 0.5569 0.1498
0.3533 0.4431 0.8502
0.3533 0.8502 0.4431
0.6467 0.1498 0.5569



# 6
Na2Si7Au12 (GGA-PBE, optimized geometry); volume = 392.16 Å³ per cell; E_form (uncorrected) = -0.06 eV/atom; space group = P-3 (147)
1.0
4.4156 0.0000 0.0000
0.0000 8.7700 -5.0634
0.0000 0.0000 10.1267
Na Si Au
2 7 12
direct
0.2321 0.3333 0.6667
0.7679 0.6667 0.3333
0.5000 0.0000 0.0000
0.2834 0.8879 0.2851
0.2834 0.3972 0.1121
0.2834 0.7149 0.6028
0.7166 0.1121 0.7149
0.7166 0.6028 0.8879
0.7166 0.2851 0.3972
0.2487 0.6151 0.0701
0.2487 0.4551 0.3849
0.2487 0.9299 0.5449
0.7513 0.3849 0.9299
0.7513 0.5449 0.6151
0.7513 0.0701 0.4551
0.2109 0.1222 0.2629
0.2109 0.1407 0.8778
0.2109 0.7371 0.8593
0.7891 0.8778 0.7371
0.7891 0.8593 0.1222
0.7891 0.2629 0.1407



# 7
Na2SmSi3Au12 (GGA-PBE, optimized geometry); volume = 389.40 Å³ per cell; E_form (uncorrected) = -0.09 eV/atom; space group = R-3m (166)
1.0
-5.4294 5.2779 -0.4489
-6.6363 -3.5999 0.7325
-2.4255 1.2711 7.0737
Na Sm Si Au
2 1 3 12
direct
0.5824 0.5824 0.5824
0.4176 0.4176 0.4176
0.0000 0.0000 0.0000
0.5000 0.0000 0.0000
0.0000 0.5000 0.0000
0.0000 0.0000 0.5000
0.3016 0.3016 0.8546
0.8307 0.8307 0.4003
0.4003 0.8307 0.8307
0.8546 0.3016 0.3016
0.8307 0.4003 0.8307
0.3016 0.8546 0.3016
0.6984 0.6984 0.1454
0.1693 0.1693 0.5997
0.5997 0.1693 0.1693
0.1454 0.6984 0.6984
0.1693 0.5997 0.1693
0.6984 0.1454 0.6984



# 8
NaSmSi2Au5 (GGA-PBE, optimized geometry); volume = 214.85 Å³ per cell; E_form (uncorrected) = -0.23 eV/atom; space group = P4/mmm (123)
1.0
-2.9047 -3.4525 0.2707
2.6403 -1.9791 3.0890
-5.2140 4.9865 7.6514
Na Sm Si Au
1 1 2 5
direct
0.0000 0.0000 0.0000
0.0000 0.0000 0.5000
0.5000 0.5000 0.2758
0.5000 0.5000 0.7242
0.0000 0.5000 0.2023
0.5000 0.0000 0.2023
0.0000 0.5000 0.7977
0.5000 0.0000 0.7977
0.5000 0.5000 0.5000



- What is the formula in the third record?
  NaSi4Au12